(1)
# LaMgSe2, PBEsol geometry, DFT meta-GGA SCAN
# **Electronic total energy**: -363.70 eV for the cell shown
# **Calculated density**: 5.68 Mg/m³
data_LaMgSe2
_chemical_formula_sum 'La4 Mg4 Se8'
_space_group_name_H-M_alt 'F -4 3 m'
_space_group_IT_number 216
_space_group_name_Hall 'F -4 2 3'
_cell_length_a 7.216
_cell_length_b 7.216
_cell_length_c 7.216
_cell_angle_alpha 90.00
_cell_angle_beta 90.00
_cell_angle_gamma 90.00
loop_
_atom_site_label
_atom_site_fract_x
_atom_site_fract_y
_atom_site_fract_z
La1 0.000 0.000 0.000
Mg1 0.250 0.250 0.250
Se1 0.000 0.000 0.500
Se2 0.250 0.250 0.750


(2)
# LaMgSe, PBEsol geometry, DFT meta-GGA SCAN
# **Electronic total energy**: -141.95 eV for the cell shown
# **Calculated density**: 5.27 Mg/m³
data_LaMgSe
_chemical_formula_sum 'La2 Mg2 Se2'
_space_group_name_H-M_alt 'I 4 m m'
_space_group_IT_number 107
_space_group_name_Hall 'I 4 -2'
_cell_length_a 3.582
_cell_length_b 3.582
_cell_length_c 11.882
_cell_angle_alpha 90.00
_cell_angle_beta 90.00
_cell_angle_gamma 90.00
loop_
_atom_site_label
_atom_site_fract_x
_atom_site_fract_y
_atom_site_fract_z
La1 0.000 0.000 0.000
Mg1 0.000 0.000 0.717
Se1 0.000 0.000 0.352


We obtain formation energy (no corrections) values of -0.67; -0.94 eV per atom for the records listed above, in that order.